Here is an optimized crystal structure of LiCd2Ag4 from Alexandria via LeMat-Bulk. Energies are from PBE.

The calculation puts the formation energy from the elements at -110.0 meV per atom. The value obtained for the size of the total moment is 0.0 Bohr magnetons per cell. As for the symmetry: P1. As for the energy above the most stable polymorph in this dataset: 0.000 eV per atom.

Lattice parameters (Å, degrees): 5.0618 5.1517 10.3098 98.00 100.21 99.10
With the nearest neighbours (Å) after each atom.
Positions (direct):
Li 0.0000 0.0000 0.0000  8 Ag 2.89-3.07, 4 Cd 2.95-2.98
Li 0.4172 0.7219 0.4266  9 Ag 2.83-3.02, 3 Cd 2.91-3.06
Cd 0.2806 0.1502 0.7867  9 Ag 2.91-3.06, 1 Li 2.95, 2 Cd 3.00-3.04
Cd 0.5746 0.2984 0.0733  7 Ag 2.94-3.02, 3 Cd 2.95-3.04, 2 Li 2.98
Cd 0.5772 0.3026 0.5689  9 Ag 2.91-3.04, 2 Li 2.91-3.06, 1 Cd 3.04
Cd 0.7203 0.8718 0.2204  8 Ag 2.91-3.04, 2 Li 2.95-2.98, 2 Cd 2.95-3.04
Ag 0.0019 0.0076 0.4994  2 Li 2.89-3.00, 4 Cd 2.91-2.98, 6 Ag 2.92-3.05
Ag 0.1454 0.5831 0.1439  3 Li 2.89-3.07, 5 Ag 2.94-3.01, 4 Cd 2.94-2.97
Ag 0.1484 0.5854 0.6432  7 Ag 2.92-3.05, 1 Li 2.92, 4 Cd 2.94-2.99
Ag 0.2875 0.1539 0.2871  3 Li 2.91-2.99, 4 Cd 2.92-2.96, 5 Ag 2.94-3.01
Ag 0.4326 0.7309 0.9314  2 Li 2.90-2.91, 5 Cd 2.91-3.06, 5 Ag 2.94-3.00
Ag 0.7160 0.8661 0.7149  4 Cd 2.91-2.99, 6 Ag 2.92-3.04, 2 Li 2.97-3.02
Ag 0.8639 0.4404 0.8616  4 Cd 2.92-3.04, 6 Ag 2.94-3.04, 2 Li 2.95
Ag 0.8676 0.4480 0.3623  2 Li 2.83-2.99, 4 Cd 2.91-3.04, 6 Ag 2.93-3.00